Here is an optimized crystal structure of YGaHRh2 from Alexandria. Energies are from GGA-PBE.

Lattice parameters (Å, degrees): 5.8800 5.8800 7.3287 90.00 90.00 143.80
Sites, in units of the cell vectors:
Y  0.0418  0.9582  0.7500
Y  0.9582  0.0418  0.2500
Ga  0.2332  0.7668  0.2500
Ga  0.7668  0.2332  0.7500
H  0.5000  0.5000  0.0000
H  0.5000  0.5000  0.5000
Rh  0.3501  0.6499  0.5476
Rh  0.3501  0.6499  0.9524
Rh  0.6499  0.3501  0.0476
Rh  0.6499  0.3501  0.4524

**Electronic total energy**: -6.20 eV/atom
**M_tot**: 0.00 Bohr magnetons per cell
**Distance to the lowest polymorph of the same formula**: 0 meV per atom
**Space group**: No. 63



Here is an optimized crystal structure of Y2GaHRh from Alexandria. Energies are from GGA-PBE.

Lattice parameters (Å, degrees): 5.0095 5.0095 3.5895 90.00 90.00 90.00
Sites, in units of the cell vectors:
Y  0.0000  0.5000  0.0000
Y  0.5000  0.0000  0.0000
Ga  0.0000  0.0000  0.5000
H  0.5000  0.5000  0.0000
Rh  0.5000  0.5000  0.5000

**Electronic total energy**: -6.00 eV/atom
**M_tot**: 0.00 Bohr magnetons per cell
**Space group**: No. 123



Here is an optimized crystal structure of YGaHRh2 from Alexandria. Energies are from GGA-PBE.

Lattice parameters (Å, degrees): 4.1619 4.1619 4.1297 90.00 90.00 90.00
Sites, in units of the cell vectors:
Y  0.0000  0.0000  0.0000
Ga  0.5000  0.5000  0.0000
H  0.0000  0.0000  0.5000
Rh  0.0000  0.5000  0.5000
Rh  0.5000  0.0000  0.5000

**Electronic total energy**: -6.02 eV/atom
**M_tot**: 0.00 Bohr magnetons per cell
**Distance to the lowest polymorph of the same formula**: 178 meV per atom
**Space group**: No. 123



Here is an optimized crystal structure of Zr2GaHRh from Alexandria. Energies are from GGA-PBE.

Lattice parameters (Å, degrees): 4.3978 4.3978 3.9099 90.00 90.00 90.00
Sites, in units of the cell vectors:
Zr  0.0000  0.5000  0.0000
Zr  0.5000  0.0000  0.0000
Ga  0.0000  0.0000  0.5000
H  0.5000  0.5000  0.0000
Rh  0.5000  0.5000  0.5000

**Electronic total energy**: -6.72 eV/atom
**M_tot**: 0.00 Bohr magnetons per cell
**Space group**: No. 123



Here is an optimized crystal structure of GaH2Ru from Alexandria. Energies are from GGA-PBE.

Lattice parameters (Å, degrees): 6.0960 6.0960 6.0960 144.23 144.23 51.48
Sites, in units of the cell vectors:
Ga  0.0000  0.0000  0.0000
Ga  0.7500  0.2500  0.5000
H  0.2167  0.6250  0.0917
H  0.3750  0.4667  0.5917
H  0.5333  0.1250  0.9083
H  0.8750  0.7833  0.4083
Ru  0.2500  0.7500  0.5000
Ru  0.5000  0.5000  0.0000

**Electronic total energy**: -4.57 eV/atom
**M_tot**: 0.00 Bohr magnetons per cell
**Distance to the lowest polymorph of the same formula**: 178 meV per atom
**Space group**: No. 122



Here is an optimized crystal structure of GaH6Ru from Alexandria. Energies are from GGA-PBE.

Lattice parameters (Å, degrees): 3.1949 4.8548 4.8887 79.37 71.46 71.30
Sites, in units of the cell vectors:
Ga  0.0000  0.0000  0.0000
H  0.0026  0.7792  0.7207
H  0.2458  0.2685  0.7245
H  0.4168  0.4816  0.1893
H  0.5832  0.5184  0.8107
H  0.7542  0.7315  0.2755
H  0.9974  0.2208  0.2793
Ru  0.0000  0.5000  0.0000

**Electronic total energy**: -3.87 eV/atom
**M_tot**: 0.00 Bohr magnetons per cell
**Space group**: No. 2



Here is an optimized crystal structure of Ga2H5Ru from Alexandria. Energies are from GGA-PBE.

Lattice parameters (Å, degrees): 4.6072 4.6672 4.6716 106.78 109.44 109.07
Sites, in units of the cell vectors:
Ga  0.0000  0.0000  0.0000
Ga  0.0012  0.5602  0.4387
H  0.1933  0.1748  0.6164
H  0.4305  0.7036  0.4535
H  0.4307  0.0186  0.1457
H  0.6149  0.6261  0.0620
H  0.7797  0.2845  0.7256
Ru  0.7726  0.9787  0.4179

**Electronic total energy**: -3.96 eV/atom
**M_tot**: 0.00 Bohr magnetons per cell
**Space group**: No. 1



Here is an optimized crystal structure of GaH2Ru2 from Alexandria. Energies are from GGA-PBE.

Lattice parameters (Å, degrees): 5.6388 5.6388 5.6388 148.68 148.68 44.88
Sites, in units of the cell vectors:
Ga  0.0000  0.0000  0.0000
H  0.2500  0.7500  0.5000
H  0.7500  0.2500  0.5000
Ru  0.3560  0.3560  0.0000
Ru  0.6440  0.6440  0.0000

**Electronic total energy**: -5.68 eV/atom
**M_tot**: 0.00 Bohr magnetons per cell
**Distance to the lowest polymorph of the same formula**: 0 meV per atom
**Space group**: No. 139



- M_tot of number 4 (Zr2GaHRh)?
  0.00 Bohr magnetons per cell